Entry from Alexandria via LeMat-Bulk: Cr2FeW after structural relaxation (PBE-GGA).

Calculated values
DOS at the Fermi energy, states/eV per atom: 0.960
Space-group type: Imm2, No. 44
Total energy, eV per atom: -10.0322

Cell lengths 2.993, 4.185, 8.133 Å; angles 90.00, 90.00, 90.00 degrees
Fractional positions:
Cr 0.000 0.000 0.000
Cr 0.000 0.500 0.264
Cr 0.500 0.000 0.764
Cr 0.500 0.500 0.500
Fe 0.000 0.500 0.751
Fe 0.500 0.000 0.251
W 0.000 0.000 0.509
W 0.500 0.500 0.009